Entry from Alexandria: a geometry-optimized SrMgCr2 structure (PBE).

Computed properties:
Its spin magnetization is 0.00 μB per formula unit. The formation energy comes out at 0.83 eV per atom. For the total energy, the calculation gives -4.803 eV per atom.

The structure in CIF format:
```
data_SrMgCr2
_chemical_formula_sum 'Sr1 Mg1 Cr2'
_space_group_name_H-M_alt 'P 1 2/m 1'
_space_group_IT_number 10
_space_group_name_Hall '-P 2y'
_cell_length_a 3.026
_cell_length_b 4.872
_cell_length_c 6.327
_cell_angle_alpha 90.00
_cell_angle_beta 100.39
_cell_angle_gamma 90.00
loop_
_atom_site_label
_atom_site_fract_x
_atom_site_fract_y
_atom_site_fract_z
Sr1 0.000 0.000 0.000
Mg1 0.500 0.000 0.500
Cr1 0.267 0.500 0.622
```

Entry from Alexandria: a geometry-optimized SrMgCr2 structure (PBE).

Computed properties:
Its spin magnetization is 0.17 μB per formula unit. The formation energy comes out at 0.59 eV per atom. For the total energy, the calculation gives -5.043 eV per atom.

The structure in CIF format:
```
data_SrMgCr2
_chemical_formula_sum 'Sr2 Mg2 Cr4'
_space_group_name_H-M_alt 'I m m 2'
_space_group_IT_number 44
_space_group_name_Hall 'I 2 -2'
_cell_length_a 3.950
_cell_length_b 5.210
_cell_length_c 9.361
_cell_angle_alpha 90.00
_cell_angle_beta 90.00
_cell_angle_gamma 90.00
loop_
_atom_site_label
_atom_site_fract_x
_atom_site_fract_y
_atom_site_fract_z
Sr1 0.000 0.000 0.000
Mg1 0.000 0.500 0.213
Cr1 0.000 0.000 0.426
Cr2 0.000 0.500 0.773
```

Entry from Alexandria: a geometry-optimized SrMgCr2 structure (PBE).

Computed properties:
Its spin magnetization is 8.76 μB per formula unit. The formation energy comes out at 0.76 eV per atom. For the total energy, the calculation gives -4.875 eV per atom.

The structure in CIF format:
```
data_SrMgCr2
_chemical_formula_sum 'Sr3 Mg3 Cr6'
_space_group_name_H-M_alt 'R -3 m'
_space_group_IT_number 166
_space_group_name_Hall '-R 3 2"'
_cell_length_a 4.8847
_cell_length_b 4.8847
_cell_length_c 16.4151
_cell_angle_alpha 90.00
_cell_angle_beta 90.00
_cell_angle_gamma 120.00
loop_
_atom_site_label
_atom_site_fract_x
_atom_site_fract_y
_atom_site_fract_z
Sr1 0.0000 0.0000 0.0000
Mg1 0.0000 0.0000 0.5000
Cr1 0.0000 0.0000 0.2011
```

Entry from Alexandria: a geometry-optimized SrMg3Cr structure (PBE).

Computed properties:
Its spin magnetization is 3.93 μB per formula unit. The formation energy comes out at 0.37 eV per atom. For the total energy, the calculation gives -2.847 eV per atom.

The structure in CIF format:
```
data_SrMg3Cr
_chemical_formula_sum 'Sr1 Mg3 Cr1'
_space_group_name_H-M_alt 'P m -3 m'
_space_group_IT_number 221
_space_group_name_Hall '-P 4 2 3'
_cell_length_a 5.288
_cell_length_b 5.288
_cell_length_c 5.288
_cell_angle_alpha 90.00
_cell_angle_beta 90.00
_cell_angle_gamma 90.00
loop_
_atom_site_label
_atom_site_fract_x
_atom_site_fract_y
_atom_site_fract_z
Sr1 0.000 0.000 0.000
Mg1 0.000 0.500 0.500
Cr1 0.500 0.500 0.500
```

Entry from Alexandria: a geometry-optimized SrMgCr structure (PBE).

Computed properties:
Its spin magnetization is 4.12 μB per formula unit. The formation energy comes out at 0.72 eV per atom. For the total energy, the calculation gives -3.583 eV per atom. Its offset from the most stable computed form is 247 meV/atom.

The structure in CIF format:
```
data_SrMgCr
_chemical_formula_sum 'Sr1 Mg1 Cr1'
_space_group_name_H-M_alt 'P 3 m 1'
_space_group_IT_number 156
_space_group_name_Hall 'P 3 -2"'
_cell_length_a 3.6128
_cell_length_b 3.6128
_cell_length_c 7.8005
_cell_angle_alpha 90.00
_cell_angle_beta 90.00
_cell_angle_gamma 120.00
loop_
_atom_site_label
_atom_site_fract_x
_atom_site_fract_y
_atom_site_fract_z
Sr1 0.0000 0.0000 0.0000
Mg1 0.3333 0.6667 0.6126
Cr1 0.6667 0.3333 0.3417
```

Entry from Alexandria: a geometry-optimized SrMg14Cr structure (PBE).

Computed properties:
Its spin magnetization is 4.39 μB per formula unit. The formation energy comes out at 0.11 eV per atom. For the total energy, the calculation gives -1.992 eV per atom. Its offset from the most stable computed form is 3 meV/atom.

The structure in CIF format:
```
data_SrMg14Cr
_chemical_formula_sum 'Sr1 Mg14 Cr1'
_space_group_name_H-M_alt 'P -6 m 2'
_space_group_IT_number 187
_space_group_name_Hall 'P -6 2'
_cell_length_a 6.5208
_cell_length_b 6.5208
_cell_length_c 10.5058
_cell_angle_alpha 90.00
_cell_angle_beta 90.00
_cell_angle_gamma 120.00
loop_
_atom_site_label
_atom_site_fract_x
_atom_site_fract_y
_atom_site_fract_z
Sr1 0.0000 0.0000 0.0000
Mg1 0.0128 0.5064 0.0000
Mg2 0.1668 0.3336 0.2673
Mg3 0.5035 0.0070 0.5000
Mg4 0.6667 0.3333 0.2394
Cr1 0.0000 0.0000 0.5000
```

Entry from Alexandria: a geometry-optimized Sr3MgCr structure (PBE).

Computed properties:
Its spin magnetization is 0.00 μB per formula unit. The formation energy comes out at 0.81 eV per atom. For the total energy, the calculation gives -2.442 eV per atom. Its offset from the most stable computed form is 0 meV/atom.

The structure in CIF format:
```
data_Sr3MgCr
_chemical_formula_sum 'Sr3 Mg1 Cr1'
_space_group_name_H-M_alt 'P m -3 m'
_space_group_IT_number 221
_space_group_name_Hall '-P 4 2 3'
_cell_length_a 5.785
_cell_length_b 5.785
_cell_length_c 5.785
_cell_angle_alpha 90.00
_cell_angle_beta 90.00
_cell_angle_gamma 90.00
loop_
_atom_site_label
_atom_site_fract_x
_atom_site_fract_y
_atom_site_fract_z
Sr1 0.000 0.000 0.500
Mg1 0.500 0.500 0.500
Cr1 0.000 0.000 0.000
```

Entry from Alexandria: a geometry-optimized SrMgCr structure (PBE).

Computed properties:
Its spin magnetization is 4.74 μB per formula unit. The formation energy comes out at 0.50 eV per atom. For the total energy, the calculation gives -3.805 eV per atom. Its offset from the most stable computed form is 24 meV/atom.

The structure in CIF format:
```
data_SrMgCr
_chemical_formula_sum 'Sr1 Mg1 Cr1'
_space_group_name_H-M_alt 'P 3 m 1'
_space_group_IT_number 156
_space_group_name_Hall 'P 3 -2"'
_cell_length_a 5.1819
_cell_length_b 5.1819
_cell_length_c 3.9524
_cell_angle_alpha 90.00
_cell_angle_beta 90.00
_cell_angle_gamma 120.00
loop_
_atom_site_label
_atom_site_fract_x
_atom_site_fract_y
_atom_site_fract_z
Sr1 0.0000 0.0000 0.0000
Mg1 0.3333 0.6667 0.5014
Cr1 0.6667 0.3333 0.5000
```